# Mg2TaCoO6 PBE+U optimized geometry
# Fermi-level density of states	0.00	states/eV/atom
# total DFT energy (no corrections)	-7.266	eV per atom
# total magnetic moment	0.0	μB/f.u.
data_Mg2TaCoO6
_symmetry_space_group_name_H-M 'R 3'
_symmetry_Int_Tables_number 146
_symmetry_space_group_name_Hall 'R 3'
_cell_length_a 5.1233
_cell_length_b 5.1233
_cell_length_c 13.6752
_cell_angle_alpha 90.00
_cell_angle_beta 90.00
_cell_angle_gamma 120.00
loop_
_atom_site_label
_atom_site_fract_x
_atom_site_fract_y
_atom_site_fract_z
Mg1 0.0000 0.0000 0.0000
Mg2 0.0000 0.0000 0.4953
Ta1 0.0000 0.0000 0.2072
Co1 0.0000 0.0000 0.7032
O1 0.0462 0.7021 0.7779
O2 0.0494 0.3530 0.2796